Entry 1:
Compound: CrIr2Rh5
Source: Alexandria via LeMat-Bulk
Functional: PBE
Structure: optimized geometry

Cell: 7.2023 7.2023 7.2023 Å, 125.67 125.67 80.43°
Last column: nearest neighbours and their distance in Å.
Fractional positions:
Cr1 0.2500 0.2500 0.0000  10 Rh 2.66-2.75
Cr2 0.7500 0.7500 0.0000  10 Rh 2.66-2.75
Ir1 0.1362 0.6362 0.7723  1 Ir 2.53, 8 Rh 2.55-2.70
Ir2 0.3638 0.1362 0.5000  1 Ir 2.53, 8 Rh 2.55-2.70
Ir3 0.6362 0.8638 0.5000  1 Ir 2.53, 8 Rh 2.55-2.70
Ir4 0.8638 0.3638 0.2277  1 Ir 2.53, 8 Rh 2.55-2.70
Rh1 0.0000 0.0000 0.0000  4 Ir 2.55, 2 Cr 2.75
Rh2 0.0156 0.8192 0.5000  4 Rh 2.58-2.82, 3 Ir 2.64-2.70, 2 Cr 2.66
Rh3 0.1808 0.6808 0.1964  4 Rh 2.58-2.82, 3 Ir 2.64-2.70, 2 Cr 2.66
Rh4 0.3192 0.5156 0.5000  4 Rh 2.58-2.82, 3 Ir 2.64-2.70, 2 Cr 2.66
Rh5 0.4844 0.9844 0.8036  4 Rh 2.58-2.82, 3 Ir 2.64-2.70, 2 Cr 2.66
Rh6 0.5000 0.5000 0.0000  4 Ir 2.55, 2 Cr 2.75
Rh7 0.5156 0.0156 0.1964  4 Rh 2.58-2.82, 3 Ir 2.64-2.70, 2 Cr 2.66
Rh8 0.6808 0.4844 0.5000  4 Rh 2.58-2.82, 3 Ir 2.64-2.70, 2 Cr 2.66
Rh9 0.8192 0.3192 0.8036  4 Rh 2.58-2.82, 3 Ir 2.64-2.70, 2 Cr 2.66
Rh10 0.9844 0.1808 0.5000  4 Rh 2.58-2.82, 3 Ir 2.64-2.70, 2 Cr 2.66

Summary:
ΔH_f (0 K): 250 meV/atom
Total moment: 1.92 μB/f.u.
E above lowest polymorph: 309 meV per atom

Entry 2:
Compound: CrIrRh2
Source: Alexandria via LeMat-Bulk
Functional: PBE
Structure: optimized geometry

Cell: 2.7002 2.7002 7.5085 Å, 90.00 90.00 90.00°
Last column: nearest neighbours and their distance in Å.
Fractional positions:
Cr1 0.0000 0.0000 0.0000  4 Ir 2.59, 4 Rh 2.61, 4 Cr 2.70
Ir1 0.5000 0.5000 0.2340  4 Cr 2.59, 4 Ir 2.70, 4 Rh 2.75
Rh1 0.0000 0.0000 0.4981  8 Rh 2.70-2.76, 4 Ir 2.75
Rh2 0.5000 0.5000 0.7636  4 Cr 2.61, 8 Rh 2.70-2.76

Summary:
ΔH_f (0 K): -77 meV/atom
Total moment: 0.37 μB/f.u.

Entry 3:
Compound: Cr2Ir4Rh
Source: Alexandria via LeMat-Bulk
Functional: PBE
Structure: optimized geometry

Cell: 5.1287 5.1287 4.1790 Å, 90.00 90.00 106.15°
Last column: nearest neighbours and their distance in Å.
Fractional positions:
Cr1 0.1813 0.1813 0.0000  1 Cr 2.23
Cr2 0.8187 0.8187 0.0000  1 Cr 2.23
Ir1 0.0000 0.5000 0.5000  2 Rh 2.56, 4 Ir 2.62
Ir2 0.2960 0.7040 0.0000  4 Cr 2.58-2.67, 4 Ir 2.62, 2 Rh 2.68
Ir3 0.5000 0.0000 0.5000  2 Rh 2.56, 4 Ir 2.62
Ir4 0.7040 0.2960 0.0000  4 Cr 2.58-2.67, 4 Ir 2.62, 2 Rh 2.68
Rh1 0.5000 0.5000 0.5000  8 Ir 2.56-2.68, 4 Cr 2.87

Summary:
ΔH_f (0 K): 351 meV/atom
Total moment: 0.64 μB/f.u.

Entry 4:
Compound: CrIr2Rh4
Source: Alexandria via LeMat-Bulk
Functional: PBE
Structure: optimized geometry

Cell: 6.3895 6.3895 12.0437 Å, 90.00 90.00 155.42°
Last column: nearest neighbours and their distance in Å.
Fractional positions:
Cr1 0.2001 0.7999 0.7500  6 Rh 2.41-2.51, 2 Ir 2.45
Cr2 0.7999 0.2001 0.2500  6 Rh 2.41-2.51, 2 Ir 2.45
Ir1 0.3656 0.6344 0.6403  1 Cr 2.45, 4 Rh 2.56-2.74, 3 Ir 2.64-2.72
Ir2 0.3656 0.6344 0.8597  1 Cr 2.45, 4 Rh 2.56-2.74, 3 Ir 2.64-2.72
Ir3 0.6344 0.3656 0.1403  1 Cr 2.45, 4 Rh 2.56-2.74, 3 Ir 2.64-2.72
Ir4 0.6344 0.3656 0.3597  1 Cr 2.45, 4 Rh 2.56-2.74, 3 Ir 2.64-2.72
Rh1 0.0000 0.0000 0.0000  6 Rh 2.72-2.82, 4 Ir 2.74
Rh2 0.0000 0.0000 0.5000  6 Rh 2.72-2.82, 4 Ir 2.74
Rh3 0.3162 0.6838 0.0757  2 Cr 2.51, 3 Ir 2.67-2.76, 3 Rh 2.72-2.75
Rh4 0.3162 0.6838 0.4243  2 Cr 2.51, 3 Ir 2.67-2.76, 3 Rh 2.72-2.75
Rh5 0.4588 0.5412 0.2500  2 Cr 2.41, 2 Ir 2.56
Rh6 0.5412 0.4588 0.7500  2 Cr 2.41, 2 Ir 2.56
Rh7 0.6838 0.3162 0.5757  2 Cr 2.51, 3 Ir 2.67-2.76, 3 Rh 2.72-2.75
Rh8 0.6838 0.3162 0.9243  2 Cr 2.51, 3 Ir 2.67-2.76, 3 Rh 2.72-2.75

Summary:
ΔH_f (0 K): 145 meV/atom
Total moment: 0.00 μB/f.u.
E above lowest polymorph: 0 meV per atom

Entry 5:
Compound: CrIrRh2
Source: Alexandria via LeMat-Bulk
Functional: PBE
Structure: optimized geometry

Cell: 2.7058 3.8019 5.3690 Å, 90.00 90.00 90.00°
Last column: nearest neighbours and their distance in Å.
Fractional positions:
Cr1 0.0000 0.0000 0.0000  8 Rh 2.68, 2 Ir 2.68, 2 Cr 2.71
Ir1 0.0000 0.0000 0.5000  2 Cr 2.68, 8 Rh 2.70, 2 Ir 2.71
Rh1 0.5000 0.5000 0.2454  4 Rh 2.63-2.73, 4 Cr 2.68, 4 Ir 2.70
Rh2 0.5000 0.5000 0.7546  4 Rh 2.63-2.73, 4 Cr 2.68, 4 Ir 2.70

Summary:
ΔH_f (0 K): -55 meV/atom
Total moment: 1.27 μB/f.u.

Entry 6:
Compound: Cr2Ir5Rh2
Source: Alexandria via LeMat-Bulk
Functional: PBE
Structure: optimized geometry

Cell: 6.4754 6.4754 7.4544 Å, 122.14 122.14 33.26°
Last column: nearest neighbours and their distance in Å.
Fractional positions:
Cr1 0.0666 0.0666 0.2806  7 Ir 2.46-2.62, 2 Rh 2.52
Cr2 0.9334 0.9334 0.7194  7 Ir 2.46-2.62, 2 Rh 2.52
Ir1 0.1690 0.1690 0.0538  3 Ir 2.58-2.66, 2 Cr 2.58-2.62, 3 Rh 2.66-2.75
Ir2 0.3134 0.3134 0.4691  3 Cr 2.46-2.56, 2 Rh 2.53-2.69, 3 Ir 2.58-2.63
Ir3 0.5000 0.5000 0.0000  4 Cr 2.56, 2 Rh 2.65, 4 Ir 2.66
Ir4 0.6866 0.6866 0.5309  3 Cr 2.46-2.56, 2 Rh 2.53-2.69, 3 Ir 2.58-2.63
Ir5 0.8310 0.8310 0.9462  3 Ir 2.58-2.66, 2 Cr 2.58-2.62, 3 Rh 2.66-2.75
Rh1 0.4264 0.4264 0.2730  2 Cr 2.52, 6 Ir 2.53-2.75, 1 Rh 2.82
Rh2 0.5736 0.5736 0.7270  2 Cr 2.52, 6 Ir 2.53-2.75, 1 Rh 2.82

Summary:
ΔH_f (0 K): 278 meV/atom
Total moment: 0.00 μB/f.u.

Entry 7:
Compound: Cr4Ir3Rh
Source: Alexandria via LeMat-Bulk
Functional: PBE
Structure: optimized geometry

Cell: 8.5380 5.3722 4.5834 Å, 90.00 90.00 90.00°
Last column: nearest neighbours and their distance in Å.
Fractional positions:
Cr1 0.0000 0.2461 0.0000  6 Ir 2.60-2.65, 4 Cr 2.63-2.73, 2 Rh 2.67
Cr2 0.0000 0.7539 0.0000  6 Ir 2.60-2.65, 4 Cr 2.63-2.73, 2 Rh 2.67
Cr3 0.2500 0.2466 0.3334  6 Ir 2.58-2.75, 4 Cr 2.63-2.72, 2 Rh 2.64
Cr4 0.2500 0.7534 0.3334  6 Ir 2.58-2.75, 4 Cr 2.63-2.72, 2 Rh 2.64
Cr5 0.5000 0.2461 0.0000  6 Ir 2.60-2.65, 4 Cr 2.63-2.73, 2 Rh 2.67
Cr6 0.5000 0.7539 0.0000  6 Ir 2.60-2.65, 4 Cr 2.63-2.73, 2 Rh 2.67
Cr7 0.7500 0.2466 0.6666  6 Ir 2.58-2.75, 4 Cr 2.63-2.72, 2 Rh 2.64
Cr8 0.7500 0.7534 0.6666  6 Ir 2.58-2.75, 4 Cr 2.63-2.72, 2 Rh 2.64
Ir1 0.0000 0.0000 0.5000  8 Cr 2.63-2.65, 2 Ir 2.67, 2 Rh 2.69
Ir2 0.2500 0.0000 0.8504  8 Cr 2.58-2.71, 4 Ir 2.67-2.69
Ir3 0.2500 0.5000 0.8553  8 Cr 2.58-2.75, 2 Rh 2.68, 2 Ir 2.69
Ir4 0.5000 0.0000 0.5000  8 Cr 2.63-2.65, 2 Ir 2.67, 2 Rh 2.69
Ir5 0.7500 0.0000 0.1496  8 Cr 2.58-2.71, 4 Ir 2.67-2.69
Ir6 0.7500 0.5000 0.1447  8 Cr 2.58-2.75, 2 Rh 2.68, 2 Ir 2.69
Rh1 0.0000 0.5000 0.5000  8 Cr 2.64-2.67, 4 Ir 2.68-2.69
Rh2 0.5000 0.5000 0.5000  8 Cr 2.64-2.67, 4 Ir 2.68-2.69

Summary:
ΔH_f (0 K): -179 meV/atom
Total moment: 0.20 μB/f.u.

Entry 8:
Compound: Cr4IrRh4
Source: Alexandria via LeMat-Bulk
Functional: PBE
Structure: optimized geometry

Cell: 5.9104 5.9104 5.9104 Å, 95.87 95.87 142.69°
Last column: nearest neighbours and their distance in Å.
Fractional positions:
Cr1 0.0000 0.3399 0.3399  5 Cr 2.54-2.61, 6 Rh 2.62-2.68, 1 Ir 2.69
Cr2 0.0000 0.6601 0.6601  5 Cr 2.54-2.61, 6 Rh 2.62-2.68, 1 Ir 2.69
Cr3 0.3399 0.0000 0.3399  5 Cr 2.54-2.61, 6 Rh 2.62-2.68, 1 Ir 2.69
Cr4 0.6601 0.0000 0.6601  5 Cr 2.54-2.61, 6 Rh 2.62-2.68, 1 Ir 2.69
Ir1 0.0000 0.0000 0.0000  8 Rh 2.68, 4 Cr 2.69
Rh1 0.3309 0.3309 0.6617  4 Rh 2.62-2.68, 6 Cr 2.62-2.68, 2 Ir 2.68
Rh2 0.3309 0.6691 0.0000  4 Rh 2.62-2.68, 6 Cr 2.62-2.68, 2 Ir 2.68
Rh3 0.6691 0.3309 0.0000  4 Rh 2.62-2.68, 6 Cr 2.62-2.68, 2 Ir 2.68
Rh4 0.6691 0.6691 0.3383  4 Rh 2.62-2.68, 6 Cr 2.62-2.68, 2 Ir 2.68

Summary:
ΔH_f (0 K): -14 meV/atom
Total moment: 0.00 μB/f.u.